1.
CrCd2P GGA-PBEsol relaxed; calculated total energy = -4.221 eV per atom
1.0
3.655 0.000 0.000
0.000 3.655 0.000
0.000 0.000 5.348
Cr Cd P
1 2 1
direct
0.000 0.000 0.000
0.500 0.500 0.251
0.500 0.500 0.749
0.000 0.000 0.500

2.
YSc2W GGA-PBEsol relaxed; polymorph energy (0 for the lowest one) = 0.032 eV/atom
1.0
3.003 0.000 0.000
0.000 4.469 0.000
0.000 0.000 6.367
Y Sc W
1 2 1
direct
0.000 0.000 0.000
0.500 0.500 0.284
0.500 0.500 0.716
0.000 0.000 0.500

3.
Be2Ru GGA-PBEsol relaxed; polymorph energy (0 for the lowest one) = 0.000 eV/atom
1.0
0.000 3.035 3.035
3.035 0.000 3.035
3.035 3.035 0.000
Be Ru
4 2
direct
0.000 0.000 0.000
0.000 0.000 0.500
0.000 0.500 0.000
0.500 0.000 0.000
0.375 0.375 0.375
0.625 0.625 0.625

4.
CdCu2Ir GGA-PBEsol relaxed; calculated total energy = -4.694 eV per atom
1.0
1.403 -2.279 0.000
1.403 2.279 0.000
0.000 0.000 8.870
Cd Cu Ir
1 2 1
direct
0.000 0.000 0.000
0.500 0.500 0.260
0.500 0.500 0.740
0.000 0.000 0.500

5.
ZrRe2Tc GGA-PBEsol relaxed; polymorph energy (0 for the lowest one) = 0.041 eV/atom
1.0
2.750 0.000 0.000
0.000 4.478 0.000
-0.982 0.000 5.089
Zr Re Tc
1 2 1
direct
0.000 0.000 0.000
0.239 0.500 0.742
0.761 0.500 0.258
0.500 0.000 0.500

6.
MgFe2AgBr GGA-PBEsol relaxed; calculated total energy = -3.915 eV per atom
1.0
4.787 0.000 0.000
0.000 4.787 0.000
0.000 0.000 5.092
Mg Fe Ag Br
1 2 1 1
direct
0.000 0.000 0.000
0.000 0.500 0.500
0.500 0.000 0.500
0.000 0.000 0.500
0.500 0.500 0.000

Please write out number 3 again, unchanged.
Be2Ru GGA-PBEsol relaxed; polymorph energy (0 for the lowest one) = 0.000 eV/atom
1.0
0.000 3.035 3.035
3.035 0.000 3.035
3.035 3.035 0.000
Be Ru
4 2
direct
0.000 0.000 0.000
0.000 0.000 0.500
0.000 0.500 0.000
0.500 0.000 0.000
0.375 0.375 0.375
0.625 0.625 0.625

Copy entry 1 word for word.
CrCd2P GGA-PBEsol relaxed; calculated total energy = -4.221 eV per atom
1.0
3.655 0.000 0.000
0.000 3.655 0.000
0.000 0.000 5.348
Cr Cd P
1 2 1
direct
0.000 0.000 0.000
0.500 0.500 0.251
0.500 0.500 0.749
0.000 0.000 0.500

Which formula does entry 3 have?
Be2Ru